Material: Zn2Pb2SeSO2
Method: DFT, PBE
State: relaxed

```
data_Zn2Pb2SeSO2
_chemical_formula_sum 'Zn2 Pb2 Se1 S1 O2'
_symmetry_space_group_name_H-M 'P 3 m 1'
_symmetry_Int_Tables_number 156
_symmetry_space_group_name_Hall 'P 3 -2"'
_cell_length_a 3.8915
_cell_length_b 3.8915
_cell_length_c 12.3814
_cell_angle_alpha 90.00
_cell_angle_beta 90.00
_cell_angle_gamma 120.00
loop_
_atom_site_label
_atom_site_fract_x
_atom_site_fract_y
_atom_site_fract_z
Zn1 0.0000 0.0000 0.0000
Zn2 0.0000 0.0000 0.4890
Pb1 0.3333 0.6667 0.7687
Pb2 0.6667 0.3333 0.2581
Se1 0.6667 0.3333 0.5689
S1 0.3333 0.6667 0.0656
O1 0.0000 0.0000 0.3311
O2 0.0000 0.0000 0.8420
```

Its density is 7.0 Mg/m³. The value obtained for the total energy is -4.3654 eV per atom.

***

Material: Lu2TeIr
Method: DFT, PBE
State: relaxed

```
data_Lu2TeIr
_chemical_formula_sum 'Lu8 Te4 Ir4'
_symmetry_space_group_name_H-M 'F -4 3 m'
_symmetry_Int_Tables_number 216
_symmetry_space_group_name_Hall 'F -4 2 3'
_cell_length_a 7.0447
_cell_length_b 7.0447
_cell_length_c 7.0447
_cell_angle_alpha 90.00
_cell_angle_beta 90.00
_cell_angle_gamma 90.00
loop_
_atom_site_label
_atom_site_fract_x
_atom_site_fract_y
_atom_site_fract_z
Lu1 0.0000 0.0000 0.0000
Lu2 0.2500 0.2500 0.2500
Te1 0.0000 0.0000 0.5000
Ir1 0.2500 0.2500 0.7500
```

Its density is 12.7 Mg/m³. The value obtained for the total energy is -5.4252 eV per atom. The value obtained for the total magnetization is 0.04 μB per formula unit.

***

Material: Lu4SbPC2
Method: DFT, PBE
State: relaxed

```
data_Lu4SbPC2
_chemical_formula_sum 'Lu4 Sb1 P1 C2'
_symmetry_space_group_name_H-M 'P -6 m 2'
_symmetry_Int_Tables_number 187
_symmetry_space_group_name_Hall 'P -6 2'
_cell_length_a 3.5786
_cell_length_b 3.5786
_cell_length_c 13.9779
_cell_angle_alpha 90.00
_cell_angle_beta 90.00
_cell_angle_gamma 120.00
loop_
_atom_site_label
_atom_site_fract_x
_atom_site_fract_y
_atom_site_fract_z
Lu1 0.0000 0.0000 0.1341
Lu2 0.3333 0.6667 0.3199
Sb1 0.0000 0.0000 0.5000
P1 0.3333 0.6667 0.0000
C1 0.6667 0.3333 0.2345
```

Its density is 9.4 Mg/m³. The value obtained for the total energy is -6.5244 eV per atom. The value obtained for the total magnetization is 0.00 μB per formula unit.

***

Material: LiCoSi2
Method: DFT, PBE
State: relaxed

```
data_LiCoSi2
_chemical_formula_sum 'Li4 Co4 Si8'
_symmetry_space_group_name_H-M 'F -4 3 m'
_symmetry_Int_Tables_number 216
_symmetry_space_group_name_Hall 'F -4 2 3'
_cell_length_a 5.6796
_cell_length_b 5.6796
_cell_length_c 5.6796
_cell_angle_alpha 90.00
_cell_angle_beta 90.00
_cell_angle_gamma 90.00
loop_
_atom_site_label
_atom_site_fract_x
_atom_site_fract_y
_atom_site_fract_z
Li1 0.0000 0.0000 0.0000
Co1 0.2500 0.2500 0.2500
Si1 0.0000 0.0000 0.5000
Si2 0.2500 0.2500 0.7500
```

Its density is 4.4 Mg/m³. The value obtained for the total energy is -4.9254 eV per atom. The value obtained for the total magnetization is 0.01 μB per formula unit.

***

Material: KAlIr
Method: DFT, PBE
State: relaxed

```
data_KAlIr
_chemical_formula_sum 'K4 Al4 Ir4'
_symmetry_space_group_name_H-M 'F -4 3 m'
_symmetry_Int_Tables_number 216
_symmetry_space_group_name_Hall 'F -4 2 3'
_cell_length_a 6.5155
_cell_length_b 6.5155
_cell_length_c 6.5155
_cell_angle_alpha 90.00
_cell_angle_beta 90.00
_cell_angle_gamma 90.00
loop_
_atom_site_label
_atom_site_fract_x
_atom_site_fract_y
_atom_site_fract_z
K1 0.0000 0.0000 0.0000
Al1 0.0000 0.0000 0.5000
Ir1 0.2500 0.2500 0.7500
```

Its density is 6.2 Mg/m³. The energy above the lowest structure with this stoichiometry is 0.00 eV per formula unit. The value obtained for the total magnetization is 0.01 μB per formula unit.

***

Material: LiYSiPt
Method: DFT, PBE
State: relaxed

```
data_LiYSiPt
_chemical_formula_sum 'Li4 Y4 Si4 Pt4'
_symmetry_space_group_name_H-M 'F -4 3 m'
_symmetry_Int_Tables_number 216
_symmetry_space_group_name_Hall 'F -4 2 3'
_cell_length_a 6.4565
_cell_length_b 6.4565
_cell_length_c 6.4565
_cell_angle_alpha 90.00
_cell_angle_beta 90.00
_cell_angle_gamma 90.00
loop_
_atom_site_label
_atom_site_fract_x
_atom_site_fract_y
_atom_site_fract_z
Li1 0.0000 0.0000 0.0000
Y1 0.2500 0.2500 0.7500
Si1 0.2500 0.2500 0.2500
Pt1 0.0000 0.0000 0.5000
```

Its density is 7.9 Mg/m³. The energy above the lowest structure with this stoichiometry is 0.00 eV per formula unit. The value obtained for the total magnetization is 0.00 μB per formula unit.

***

Material: LuZr2As
Method: DFT, PBE
State: relaxed

```
data_LuZr2As
_chemical_formula_sum 'Lu4 Zr8 As4'
_symmetry_space_group_name_H-M 'F -4 3 m'
_symmetry_Int_Tables_number 216
_symmetry_space_group_name_Hall 'F -4 2 3'
_cell_length_a 7.0010
_cell_length_b 7.0010
_cell_length_c 7.0010
_cell_angle_alpha 90.00
_cell_angle_beta 90.00
_cell_angle_gamma 90.00
loop_
_atom_site_label
_atom_site_fract_x
_atom_site_fract_y
_atom_site_fract_z
Lu1 0.0000 0.0000 0.0000
Zr1 0.0000 0.0000 0.5000
Zr2 0.2500 0.2500 0.2500
As1 0.2500 0.2500 0.7500
```

Its density is 8.4 Mg/m³. The value obtained for the total energy is -6.6883 eV per atom. The value obtained for the total magnetization is 1.26 μB per formula unit.

***

Material: Pr3C2S
Method: DFT, PBE
State: relaxed

```
data_Pr3C2S
_chemical_formula_sum 'Pr3 C2 S1'
_symmetry_space_group_name_H-M 'P -3 m 1'
_symmetry_Int_Tables_number 164
_symmetry_space_group_name_Hall '-P 3 2"'
_cell_length_a 3.8682
_cell_length_b 3.8682
_cell_length_c 9.9040
_cell_angle_alpha 90.00
_cell_angle_beta 90.00
_cell_angle_gamma 120.00
loop_
_atom_site_label
_atom_site_fract_x
_atom_site_fract_y
_atom_site_fract_z
Pr1 0.0000 0.0000 0.0000
Pr2 0.3333 0.6667 0.3070
C1 0.3333 0.6667 0.8371
S1 0.0000 0.0000 0.5000
```

Its density is 6.2 Mg/m³. The value obtained for the total energy is -6.7117 eV per atom. The value obtained for the total magnetization is 0.11 μB per formula unit.

***

Material: HoCoPt
Method: DFT, PBE
State: relaxed

```
data_HoCoPt
_chemical_formula_sum 'Ho4 Co4 Pt4'
_symmetry_space_group_name_H-M 'F -4 3 m'
_symmetry_Int_Tables_number 216
_symmetry_space_group_name_Hall 'F -4 2 3'
_cell_length_a 6.3391
_cell_length_b 6.3391
_cell_length_c 6.3391
_cell_angle_alpha 90.00
_cell_angle_beta 90.00
_cell_angle_gamma 90.00
loop_
_atom_site_label
_atom_site_fract_x
_atom_site_fract_y
_atom_site_fract_z
Ho1 0.0000 0.0000 0.0000
Co1 0.0000 0.0000 0.5000
Pt1 0.2500 0.2500 0.7500
```

Its density is 10.9 Mg/m³. The value obtained for the total magnetization is 1.70 μB per formula unit. Its formation energy is -265 meV/atom.

***

Material: RbMgFeTc
Method: DFT, PBE
State: relaxed

```
data_RbMgFeTc
_chemical_formula_sum 'Rb4 Mg4 Fe4 Tc4'
_symmetry_space_group_name_H-M 'F -4 3 m'
_symmetry_Int_Tables_number 216
_symmetry_space_group_name_Hall 'F -4 2 3'
_cell_length_a 6.9433
_cell_length_b 6.9433
_cell_length_c 6.9433
_cell_angle_alpha 90.00
_cell_angle_beta 90.00
_cell_angle_gamma 90.00
loop_
_atom_site_label
_atom_site_fract_x
_atom_site_fract_y
_atom_site_fract_z
Rb1 0.0000 0.0000 0.0000
Mg1 0.2500 0.2500 0.7500
Fe1 0.2500 0.2500 0.2500
Tc1 0.0000 0.0000 0.5000
```

Its density is 5.2 Mg/m³. The energy above the lowest structure with this stoichiometry is 0.00 eV per formula unit. The value obtained for the total magnetization is 4.81 μB per formula unit.

***

Material: LuTlFeTe3
Method: DFT, PBE
State: relaxed

```
data_LuTlFeTe3
_chemical_formula_sum 'Lu4 Tl4 Fe4 Te12'
_symmetry_space_group_name_H-M 'P n m a'
_symmetry_Int_Tables_number 62
_symmetry_space_group_name_Hall '-P 2ac 2n'
_cell_length_a 12.2954
_cell_length_b 4.4166
_cell_length_c 13.1257
_cell_angle_alpha 90.00
_cell_angle_beta 90.00
_cell_angle_gamma 90.00
loop_
_atom_site_label
_atom_site_fract_x
_atom_site_fract_y
_atom_site_fract_z
Lu1 0.0204 0.2500 0.1853
Tl1 0.1858 0.2500 0.4915
Fe1 0.2428 0.7500 0.3011
Te1 0.0349 0.7500 0.3453
Te2 0.0971 0.2500 0.9352
Te3 0.2282 0.7500 0.6948
```

Its density is 7.6 Mg/m³. The energy above the lowest structure with this stoichiometry is 0.67 eV per formula unit. The value obtained for the total magnetization is 3.87 μB per formula unit.

***

Material: PmPPdO
Method: DFT, PBE
State: relaxed

```
data_PmPPdO
_chemical_formula_sum 'Pm2 P2 Pd2 O2'
_symmetry_space_group_name_H-M 'P 4/n m m'
_symmetry_Int_Tables_number 129
_cell_length_a 5.7950
_cell_length_b 5.7950
_cell_length_c 4.5615
_cell_angle_alpha 90.00
_cell_angle_beta 90.00
_cell_angle_gamma 90.00
loop_
_symmetry_equiv_pos_as_xyz
'x,y,z'
'-x,-y,-z'
'-y+1/2,x,z'
'y+1/2,-x,-z'
'-x+1/2,-y+1/2,z'
'x+1/2,y+1/2,-z'
'y,-x+1/2,z'
'-y,x+1/2,-z'
'x+1/2,-y,-z'
'-x+1/2,y,z'
'-y,-x,-z'
'y,x,z'
'-x,y+1/2,-z'
'x,-y+1/2,z'
'y+1/2,x+1/2,-z'
'-y+1/2,-x+1/2,z'
loop_
_atom_site_label
_atom_site_fract_x
_atom_site_fract_y
_atom_site_fract_z
Pm1 0.2500 0.7500 0.0000
P1 0.2500 0.2500 0.0025
Pd1 0.2500 0.2500 0.5025
O1 0.2500 0.7500 0.5000
```

Its density is 6.5 Mg/m³. The energy above the lowest structure with this stoichiometry is 3.21 eV per formula unit. The value obtained for the total magnetization is 0.01 μB per formula unit.